No. 1
A relaxed structure of Mg2Zn2Pt3, computed with PBE.

POSCAR file:
```
Mg2Zn2Pt3
1.0
4.418 0.000 0.000
-2.193 3.856 0.000
-0.112 -2.451 6.874
Mg Zn Pt
2 2 3
Cartesian
-0.058 0.068 2.376
2.171 1.336 4.498
-0.047 2.645 0.791
2.160 -1.240 6.083
-0.037 0.042 5.141
2.153 -1.226 3.437
2.151 1.363 1.733
```

Calculated values
M_tot ... 0.000 μB/f.u.
Formation energy from the elements ... -0.634 eV/atom
Density ... 10.8 g/cm³
SG ... P-1, No. 2

***

No. 2
A relaxed structure of Sm5YEr3, computed with PBE.

POSCAR file:
```
Sm5YEr3
1.0
7.590 -5.798 0.000
7.590 5.798 0.000
-6.301 0.000 7.606
Sm Y Er
10 2 6
Cartesian
3.762 2.928 1.952
1.972 0.000 1.794
7.590 2.953 0.000
-1.829 0.000 7.270
5.116 2.928 5.654
3.762 -2.928 1.952
10.708 0.000 0.336
7.590 -2.953 0.000
6.906 0.000 5.812
5.116 -2.928 5.654
0.024 0.000 4.510
8.854 0.000 3.096
-3.151 0.000 3.803
-5.061 0.000 6.273
3.288 0.000 4.911
7.590 0.000 0.000
5.590 0.000 2.695
13.939 0.000 1.333
```

Calculated values
M_tot ... 0.000 μB/f.u.
Formation energy from the elements ... 0.496 eV/atom
Density ... 6.7 g/cm³
SG ... C2/m, No. 12

***

No. 3
A relaxed structure of Fe2SiPt, computed with PBE.

POSCAR file:
```
Fe2SiPt
1.0
-1.780 1.780 8.864
1.780 -1.780 8.864
1.780 1.780 -8.864
Fe Si Pt
4 2 2
Cartesian
2.669 0.805 -2.216
0.805 0.890 2.216
-0.890 0.975 6.648
0.975 0.890 11.080
0.000 0.000 0.000
0.000 1.780 4.432
1.780 0.000 4.432
0.000 0.000 8.864
```

Calculated values
M_tot ... 4.941 μB/f.u.
E_form (uncorrected) ... 0.0394 eV/atom
Density ... 9.9 g/cm³
SG ... I-42d, No. 122

***

No. 4
A relaxed structure of Hg3Ir, computed with PBE.

POSCAR file:
```
Hg3Ir
1.0
3.179 0.000 0.000
0.000 4.763 0.000
0.000 0.000 5.234
Hg Ir
3 1
Cartesian
0.000 0.000 0.000
0.000 2.381 1.861
1.590 0.000 2.755
1.590 2.381 4.498
```

Calculated values
M_tot ... 0.000 μB/f.u.
Formation energy from the elements ... 0.470 eV/atom
Density ... 16.6 g/cm³
Energy above the most stable polymorph in this dataset ... 188 meV per atom
SG ... Pmm2, No. 25

***

No. 5
A relaxed structure of PuInP2O8, computed with PBE.

POSCAR file:
```
PuInP2O8
1.0
5.204 0.000 0.000
-2.602 4.507 0.000
0.000 0.000 7.024
Pu In P O
1 1 2 8
Cartesian
0.000 0.000 0.000
0.000 0.000 3.512
0.000 3.005 5.513
2.602 1.502 1.511
-0.035 1.534 5.017
-1.256 3.770 5.017
0.000 3.005 0.019
1.311 0.797 2.007
1.291 3.710 5.017
2.602 1.502 7.005
3.858 0.737 2.007
2.637 2.973 2.007
```

Calculated values
M_tot ... 5.000 μB/f.u.
E_form (uncorrected) ... -2.2895 eV/atom
Density ... 5.5 g/cm³
SG ... P-3, No. 147

***

No. 6
A relaxed structure of Cs2CuTcO6, computed with PBE.

POSCAR file:
```
Cs2CuTcO6
1.0
6.491 0.000 0.000
-3.246 5.621 0.000
0.000 0.000 5.087
Cs Cu Tc O
2 1 1 6
Cartesian
0.000 3.748 1.151
3.246 1.874 3.936
0.000 0.000 0.000
0.000 0.000 2.543
0.000 1.511 3.715
-1.937 4.866 3.715
1.309 0.756 1.371
1.937 4.866 3.715
5.182 0.756 1.371
3.246 4.110 1.371
```

Calculated values
M_tot ... 1.976 μB/f.u.
E_form (uncorrected) ... -1.1331 eV/atom
Density ... 4.7 g/cm³
SG ... P-3m1, No. 164